Density functional theory data (PBE) for an optimized crystal structure of CaLa4Nd3Te8.

Results
- Total moment: 0.00 μB/f.u.
- Uncorrected formation energy: -1.528 eV per atom

a b c (Å): 9.0741 9.0741 9.0741
angles (deg): 60.16 60.16 60.16
Atoms (fractional coordinates):
1 Ca 0.0000 0.0000 0.0000
2 La 0.0000 0.0000 0.5000
3 La 0.0000 0.5000 0.0000
4 La 0.5000 0.0000 0.0000
5 La 0.5000 0.5000 0.5000
6 Nd 0.0000 0.5000 0.5000
7 Nd 0.5000 0.0000 0.5000
8 Nd 0.5000 0.5000 0.0000
9 Te 0.2458 0.2458 0.7509
10 Te 0.2458 0.7510 0.2458
11 Te 0.2491 0.7542 0.7542
12 Te 0.2515 0.2515 0.2515
13 Te 0.7485 0.7485 0.7485
14 Te 0.7509 0.2458 0.2458
15 Te 0.7542 0.2491 0.7542
16 Te 0.7542 0.7542 0.2491

=====

Density functional theory data (PBE) for an optimized crystal structure of Ca2La3NdTe6.

Results
- Total moment: 0.00 μB/f.u.
- Uncorrected formation energy: -1.559 eV per atom

a b c (Å): 7.8569 7.8569 7.8911
angles (deg): 99.56 99.56 120.04
Atoms (fractional coordinates):
1 Ca 0.1670 0.8330 0.0000
2 Ca 0.8330 0.1670 0.0000
3 La 0.0000 0.0000 0.5000
4 La 0.3340 0.6660 0.5000
5 La 0.6660 0.3340 0.5000
6 Nd 0.5000 0.5000 0.0000
7 Te 0.0824 0.4195 0.7591
8 Te 0.2431 0.2431 0.2414
9 Te 0.4195 0.0824 0.7591
10 Te 0.5805 0.9176 0.2409
11 Te 0.7569 0.7569 0.7586
12 Te 0.9176 0.5805 0.2409

=====

Density functional theory data (PBE) for an optimized crystal structure of Ca3La2NdTe6.

Results
- Total moment: 0.00 μB/f.u.
- Uncorrected formation energy: -1.563 eV per atom

a b c (Å): 10.1894 10.1894 9.1242
angles (deg): 104.30 104.30 25.50
Atoms (fractional coordinates):
1 Ca 0.0000 0.0000 0.0000
2 Ca 0.3330 0.3330 0.6676
3 Ca 0.6670 0.6670 0.3325
4 La 0.3358 0.3358 0.1725
5 La 0.6642 0.6642 0.8275
6 Nd 0.0000 0.0000 0.5000
7 Te 0.1654 0.1654 0.0865
8 Te 0.1675 0.1675 0.5747
9 Te 0.4968 0.4968 0.7518
10 Te 0.5032 0.5032 0.2482
11 Te 0.8325 0.8325 0.4253
12 Te 0.8346 0.8346 0.9135

=====

Density functional theory data (PBE) for an optimized crystal structure of CaLaNd2Tl4.

Results
- DFT formation energy: -3.2 eV/f.u.
- Total moment: 0.00 μB/f.u.

a b c (Å): 9.7006 9.7006 9.7006
angles (deg): 33.10 33.10 33.10
Atoms (fractional coordinates):
1 Ca 0.0000 0.0000 0.0000
2 La 0.5000 0.5000 0.5000
3 Nd 0.2544 0.2544 0.2544
4 Nd 0.7456 0.7456 0.7456
5 Tl 0.1253 0.1253 0.1253
6 Tl 0.3752 0.3752 0.3752
7 Tl 0.6248 0.6248 0.6248
8 Tl 0.8747 0.8747 0.8747